Entry 1:
Li5SiAg, relaxed, DFT GGA-PBE; uncorrected formation energy = -10.6 kJ/mol of atoms; raw total energy = -2.6585 eV per atom; energy relative to the lowest polymorph listed for this composition = 0.003 eV per atom; magnetic moment = 0.000 μB per formula unit
1.0
4.321 0.000 0.000
0.000 4.321 0.000
0.000 0.000 6.525
Li Si Ag
5 1 1
Cartesian
0.000 0.000 0.000
0.000 2.161 1.590
0.000 2.161 4.935
2.161 0.000 1.590
2.161 0.000 4.935
2.161 2.161 0.000
0.000 0.000 3.262

Entry 2:
PmThCuBi, relaxed, DFT GGA-PBE; raw total energy = -5.2604 eV per atom; ΔE_f = -0.22 eV/atom; magnetic moment = 0.000 μB per formula unit
1.0
7.581 0.000 0.000
0.000 7.581 0.000
0.000 0.000 7.581
Pm Th Cu Bi
4 4 4 4
Cartesian
0.000 0.000 0.000
0.000 3.791 3.791
3.791 0.000 3.791
3.791 3.791 0.000
0.000 0.000 3.791
0.000 3.791 0.000
3.791 0.000 0.000
3.791 3.791 3.791
1.895 1.895 1.895
1.895 5.686 5.686
5.686 1.895 5.686
5.686 5.686 1.895
1.895 1.895 5.686
1.895 5.686 1.895
5.686 1.895 1.895
5.686 5.686 5.686

Entry 3:
Tl2PtPb, relaxed, DFT GGA-PBE; raw total energy = -3.4218 eV per atom; energy relative to the lowest polymorph listed for this composition = 0.249 eV per atom; ΔE_f = 0.20 eV/atom; magnetic moment = 0.000 μB per formula unit
1.0
7.370 0.000 0.000
0.000 7.370 0.000
0.000 0.000 7.370
Tl Pt Pb
8 4 4
Cartesian
1.843 1.843 1.843
1.843 1.843 5.528
1.843 5.528 1.843
1.843 5.528 5.528
5.528 1.843 1.843
5.528 1.843 5.528
5.528 5.528 1.843
5.528 5.528 5.528
0.000 0.000 0.000
0.000 3.685 3.685
3.685 0.000 3.685
3.685 3.685 0.000
0.000 0.000 3.685
0.000 3.685 0.000
3.685 0.000 0.000
3.685 3.685 3.685

Entry 4:
YScTc2, relaxed, DFT GGA-PBE; raw total energy = -8.2424 eV per atom; energy relative to the lowest polymorph listed for this composition = 0.191 eV per atom; ΔE_f = 0.14 eV/atom; magnetic moment = 0.000 μB per formula unit
1.0
3.076 0.000 0.000
0.000 4.348 0.000
-0.990 0.000 5.866
Y Sc Tc
1 1 2
Cartesian
0.000 0.000 0.000
1.043 0.000 2.933
-0.090 2.174 4.094
2.176 2.174 1.772

Entry 5:
TaCu2Te, relaxed, DFT GGA-PBE; uncorrected formation energy = 39.1 kJ/mol of atoms; raw total energy = -5.3909 eV per atom; magnetic moment = 0.000 μB per formula unit
1.0
3.001 0.000 0.000
-1.500 2.599 0.000
0.000 0.000 27.688
Ta Cu Te
3 6 3
Cartesian
0.000 0.000 0.000
0.000 1.733 18.458
1.500 0.866 9.229
0.000 0.000 7.085
0.000 0.000 20.602
0.000 1.733 11.373
0.000 1.733 25.544
1.500 0.866 2.144
1.500 0.866 16.314
0.000 0.000 13.844
0.000 1.733 4.615
1.500 0.866 23.073

Entry 6:
TeAsO6, relaxed, DFT GGA-PBE; uncorrected formation energy = -49.0 kJ/mol of atoms; raw total energy = -5.2005 eV per atom; magnetic moment = 1.032 μB per formula unit
1.0
5.407 0.000 0.000
0.000 9.325 0.000
-0.191 0.000 5.203
Te As O
2 2 12
Cartesian
0.000 0.000 0.000
2.704 4.662 0.000
-0.095 0.000 2.602
2.608 4.662 2.602
0.580 1.247 3.866
0.580 8.078 3.866
1.124 4.662 3.787
1.389 0.000 1.416
1.933 3.415 1.338
1.933 5.909 1.338
3.284 3.415 3.866
3.284 5.909 3.866
3.828 0.000 3.787
4.093 4.662 1.416
4.637 1.247 1.338
4.637 8.078 1.338